Run one
Density functional theory data (PBE) for crystalline La2HfF at its relaxed geometry.

The volume is 111.6 Å³/f.u. The total magnetization comes out at 0.0 μB per formula unit.

a = 7.597 Å, b = 7.597 Å, c = 7.734 Å
α = 90.00°, β = 90.00°, γ = 90.00°
Atoms (fractional coordinates):
La 0.156 0.250 0.125
La 0.250 0.656 0.375
La 0.250 0.844 0.875
La 0.344 0.250 0.625
La 0.656 0.750 0.625
La 0.750 0.156 0.875
La 0.750 0.344 0.375
La 0.844 0.750 0.125
Hf 0.000 0.000 0.500
Hf 0.000 0.500 0.750
Hf 0.500 0.000 0.250
Hf 0.500 0.500 0.000
F 0.000 0.000 0.000
F 0.000 0.500 0.250
F 0.500 0.000 0.750
F 0.500 0.500 0.500

***

Run two
Density functional theory data (PBE) for crystalline La2HfF at its relaxed geometry.

The volume is 105.3 Å³/f.u. The total magnetization comes out at 1.5 μB per formula unit.

a = 7.496 Å, b = 7.496 Å, c = 7.496 Å
α = 90.00°, β = 90.00°, γ = 90.00°
Atoms (fractional coordinates):
La 0.250 0.250 0.250
La 0.250 0.250 0.750
La 0.250 0.750 0.250
La 0.250 0.750 0.750
La 0.750 0.250 0.250
La 0.750 0.250 0.750
La 0.750 0.750 0.250
La 0.750 0.750 0.750
Hf 0.000 0.000 0.000
Hf 0.000 0.500 0.500
Hf 0.500 0.000 0.500
Hf 0.500 0.500 0.000
F 0.000 0.000 0.500
F 0.000 0.500 0.000
F 0.500 0.000 0.000
F 0.500 0.500 0.500

***

Relative energies in meV per atom: run one 0; run two 636

***

Run one
Density functional theory data (PBE) for crystalline LaHf2F at its relaxed geometry.

The volume is 101.3 Å³/f.u. The total magnetization comes out at 0.0 μB per formula unit.

a = 6.831 Å, b = 6.831 Å, c = 8.679 Å
α = 90.00°, β = 90.00°, γ = 90.00°
Atoms (fractional coordinates):
La 0.000 0.000 0.000
La 0.000 0.500 0.250
La 0.500 0.000 0.750
La 0.500 0.500 0.500
Hf 0.084 0.250 0.625
Hf 0.250 0.584 0.875
Hf 0.250 0.916 0.375
Hf 0.416 0.250 0.125
Hf 0.584 0.750 0.125
Hf 0.750 0.084 0.375
Hf 0.750 0.416 0.875
Hf 0.916 0.750 0.625
F 0.000 0.000 0.500
F 0.000 0.500 0.750
F 0.500 0.000 0.250
F 0.500 0.500 0.000

***

Run two
Density functional theory data (PBE) for crystalline LaHf2F at its relaxed geometry.

The volume is 87.5 Å³/f.u. The total magnetization comes out at 1.4 μB per formula unit.

a = 7.047 Å, b = 7.047 Å, c = 7.047 Å
α = 90.00°, β = 90.00°, γ = 90.00°
Atoms (fractional coordinates):
La 0.000 0.000 0.000
La 0.000 0.500 0.500
La 0.500 0.000 0.500
La 0.500 0.500 0.000
Hf 0.250 0.250 0.250
Hf 0.250 0.250 0.750
Hf 0.250 0.750 0.250
Hf 0.250 0.750 0.750
Hf 0.750 0.250 0.250
Hf 0.750 0.250 0.750
Hf 0.750 0.750 0.250
Hf 0.750 0.750 0.750
F 0.000 0.000 0.500
F 0.000 0.500 0.000
F 0.500 0.000 0.000
F 0.500 0.500 0.500

***

Relative energies in meV per atom: run one 0; run two 694

***

Run one
Density functional theory data (PBE) for crystalline LiHfF5 at its relaxed geometry.

The volume is 114.3 Å³/f.u. The total magnetization comes out at 0.0 μB per formula unit.

a = 5.716 Å, b = 5.716 Å, c = 8.060 Å
α = 111.19°, β = 111.19°, γ = 85.40°
Atoms (fractional coordinates):
Li 0.097 0.903 0.750
Li 0.903 0.097 0.250
Hf 0.500 0.500 0.000
Hf 0.500 0.500 0.500
F 0.217 0.241 0.858
F 0.241 0.217 0.358
F 0.243 0.734 0.561
F 0.266 0.757 0.939
F 0.434 0.566 0.250
F 0.566 0.434 0.750
F 0.734 0.243 0.061
F 0.757 0.266 0.439
F 0.759 0.783 0.642
F 0.783 0.759 0.142

***

Run two
Density functional theory data (PBE) for crystalline LiHfF5 at its relaxed geometry.

The volume is 107.9 Å³/f.u. The total magnetization comes out at 0.0 μB per formula unit.

a = 4.105 Å, b = 6.821 Å, c = 7.704 Å
α = 90.00°, β = 90.00°, γ = 90.00°
Atoms (fractional coordinates):
Li 0.000 0.000 0.000
Li 0.500 0.500 0.500
Hf 0.000 0.000 0.500
Hf 0.500 0.500 0.000
F 0.000 0.000 0.242
F 0.000 0.000 0.758
F 0.000 0.290 0.500
F 0.000 0.500 0.000
F 0.000 0.710 0.500
F 0.500 0.000 0.500
F 0.500 0.210 0.000
F 0.500 0.500 0.258
F 0.500 0.500 0.742
F 0.500 0.790 0.000

***

Relative energies in meV per atom: run one 0; run two 42

***

Run one
Density functional theory data (PBE) for crystalline Li3HfF at its relaxed geometry.

The volume is 78.3 Å³/f.u. The total magnetization comes out at 0.0 μB per formula unit.

a = 4.278 Å, b = 4.278 Å, c = 4.278 Å
α = 90.00°, β = 90.00°, γ = 90.00°
Atoms (fractional coordinates):
Li 0.000 0.000 0.500
Li 0.000 0.500 0.000
Li 0.500 0.000 0.000
Hf 0.500 0.500 0.500
F 0.000 0.000 0.000

***

Run two
Density functional theory data (PBE) for crystalline Li3HfF at its relaxed geometry.

The volume is 175.5 Å³/f.u. The total magnetization comes out at 4.0 μB per formula unit.

a = 5.599 Å, b = 5.599 Å, c = 5.599 Å
α = 90.00°, β = 90.00°, γ = 90.00°
Atoms (fractional coordinates):
Li 0.000 0.000 0.500
Li 0.000 0.500 0.000
Li 0.500 0.000 0.000
Hf 0.000 0.000 0.000
F 0.500 0.500 0.500

***

Relative energies in meV per atom: run one 0; run two 1270

***

Run one
Density functional theory data (PBE) for crystalline LiHf2F8 at its relaxed geometry.

The volume is 143.8 Å³/f.u. The total magnetization comes out at 1.0 μB per formula unit.

a = 5.508 Å, b = 5.508 Å, c = 5.031 Å
α = 99.91°, β = 99.91°, γ = 74.88°
Atoms (fractional coordinates):
Li 0.000 0.000 0.000
Hf 0.315 0.315 0.568
Hf 0.685 0.685 0.432
F 0.055 0.659 0.681
F 0.160 0.160 0.803
F 0.341 0.945 0.319
F 0.441 0.441 0.248
F 0.559 0.559 0.752
F 0.659 0.055 0.681
F 0.840 0.840 0.197
F 0.945 0.341 0.319

***

Run two
Density functional theory data (PBE) for crystalline LiHf2F8 at its relaxed geometry.

The volume is 136.5 Å³/f.u. The total magnetization comes out at 1.0 μB per formula unit.

a = 6.070 Å, b = 6.070 Å, c = 4.104 Å
α = 96.45°, β = 96.45°, γ = 112.77°
Atoms (fractional coordinates):
Li 0.000 0.000 0.000
Hf 0.323 0.677 0.000
Hf 0.677 0.323 0.000
F 0.047 0.333 0.063
F 0.269 0.731 0.500
F 0.333 0.047 0.063
F 0.402 0.402 0.732
F 0.598 0.598 0.268
F 0.667 0.953 0.937
F 0.731 0.269 0.500
F 0.953 0.667 0.937

***

Relative energies in meV per atom: run one 11; run two 0

***

Run one
Density functional theory data (PBE) for crystalline LiHfF3 at its relaxed geometry.

The volume is 53.7 Å³/f.u. The total magnetization comes out at 1.6 μB per formula unit.

a = 3.774 Å, b = 3.774 Å, c = 3.774 Å
α = 90.00°, β = 90.00°, γ = 90.00°
Atoms (fractional coordinates):
Li 0.000 0.000 0.000
Hf 0.500 0.500 0.500
F 0.000 0.000 0.500
F 0.000 0.500 0.000
F 0.500 0.000 0.000

***

Run two
Density functional theory data (PBE) for crystalline LiHfF3 at its relaxed geometry.

The volume is 79.0 Å³/f.u. The total magnetization comes out at 1.1 μB per formula unit.

a = 4.291 Å, b = 4.291 Å, c = 4.291 Å
α = 90.00°, β = 90.00°, γ = 90.00°
Atoms (fractional coordinates):
Li 0.000 0.000 0.000
Hf 0.500 0.500 0.500
F 0.000 0.500 0.500
F 0.500 0.000 0.500
F 0.500 0.500 0.000

***

Relative energies in meV per atom: run one 209; run two 0

***

Run one
Density functional theory data (PBE) for crystalline LiHfNF2 at its relaxed geometry.

The volume is 47.8 Å³/f.u. The total magnetization comes out at 0.0 μB per formula unit.

a = 3.319 Å, b = 3.319 Å, c = 4.340 Å
α = 90.00°, β = 90.00°, γ = 90.00°
Atoms (fractional coordinates):
Li 0.000 0.000 0.000
Hf 0.500 0.500 0.500
N 0.000 0.000 0.500
F 0.000 0.500 0.000
F 0.500 0.000 0.000

***

Run two
Density functional theory data (PBE) for crystalline LiHfNF2 at its relaxed geometry.

The volume is 72.3 Å³/f.u. The total magnetization comes out at 0.0 μB per formula unit.

a = 4.171 Å, b = 4.171 Å, c = 4.154 Å
α = 90.00°, β = 90.00°, γ = 90.00°
Atoms (fractional coordinates):
Li 0.000 0.000 0.000
Hf 0.500 0.500 0.500
N 0.500 0.500 0.000
F 0.000 0.500 0.500
F 0.500 0.000 0.500

***

Relative energies in meV per atom: run one 244; run two 0

***

Run one
Density functional theory data (PBE) for crystalline LiHfOF2 at its relaxed geometry.

The volume is 47.5 Å³/f.u. The total magnetization comes out at 0.0 μB per formula unit.

a = 3.373 Å, b = 3.373 Å, c = 4.177 Å
α = 90.00°, β = 90.00°, γ = 90.00°
Atoms (fractional coordinates):
Li 0.000 0.000 0.000
Hf 0.500 0.500 0.500
O 0.000 0.000 0.500
F 0.000 0.500 0.000
F 0.500 0.000 0.000

***

Run two
Density functional theory data (PBE) for crystalline LiHfOF2 at its relaxed geometry.

The volume is 73.7 Å³/f.u. The total magnetization comes out at 0.3 μB per formula unit.

a = 4.276 Å, b = 4.276 Å, c = 4.033 Å
α = 90.00°, β = 90.00°, γ = 90.00°
Atoms (fractional coordinates):
Li 0.000 0.000 0.000
Hf 0.500 0.500 0.500
O 0.500 0.500 0.000
F 0.000 0.500 0.500
F 0.500 0.000 0.500

***

Relative energies in meV per atom: run one 304; run two 0